1.
Cr2CuHOs: relaxed, GGA-PBE.

a = 3.7253 Å, b = 3.7253 Å, c = 3.7238 Å
α = 90.00°, β = 90.00°, γ = 90.00°
Space group P4/mmm (No. 123)
Inequivalent atoms, fractional coordinates:
1 Cr 0.0000 0.5000 0.0000 (multiplicity 2)
2 Cu 0.0000 0.0000 0.5000 (multiplicity 1)
3 H 0.0000 0.0000 0.0000 (multiplicity 1)
4 Os 0.5000 0.5000 0.5000 (multiplicity 1)

M_tot: 0.9 μB/cell
total energy: -36.70 eV/cell

2.
Mg2FePb: relaxed, GGA-PBE.

a = 3.2045 Å, b = 4.3175 Å, c = 6.1869 Å
α = 90.00°, β = 103.00°, γ = 90.00°
Space group Pm (No. 6)
Inequivalent atoms, fractional coordinates:
1 Mg 0.0000 0.0000 0.0000 (multiplicity 1)
2 Mg 0.3638 0.5000 0.7179 (multiplicity 1)
3 Fe 0.7943 0.0000 0.5506 (multiplicity 1)
4 Pb 0.6203 0.5000 0.2645 (multiplicity 1)

M_tot: 2.4 μB/cell
energy relative to the elements: 103.6 kJ/mol of formula units

3.
Y2TmPuS4: relaxed, GGA-PBE.

a = 6.7733 Å, b = 3.8943 Å, c = 6.7748 Å
α = 90.00°, β = 109.21°, γ = 90.00°
Space group P2/m (No. 10)
Inequivalent atoms, fractional coordinates:
1 Y 0.0000 0.0000 0.0000 (multiplicity 1)
2 Y 0.0000 0.5000 0.5000 (multiplicity 1)
3 Tm 0.5000 0.0000 0.5000 (multiplicity 1)
4 Pu 0.5000 0.5000 0.0000 (multiplicity 1)
5 S 0.2506 0.0000 0.7460 (multiplicity 2)
6 S 0.2537 0.5000 0.2557 (multiplicity 2)

E_form (uncorrected): -1.95 eV/atom
M_tot: 5.8 μB/cell

4.
CsBeSe2S: relaxed, GGA-PBE.

a = 6.7640 Å, b = 6.7640 Å, c = 5.8836 Å
α = 90.00°, β = 90.00°, γ = 90.00°
Space group P4/mmm (No. 123)
Inequivalent atoms, fractional coordinates:
1 Cs 0.0000 0.0000 0.0000 (multiplicity 1)
2 Be 0.5000 0.5000 0.5000 (multiplicity 1)
3 Se 0.0000 0.5000 0.0000 (multiplicity 2)
4 S 0.0000 0.0000 0.5000 (multiplicity 1)

E_form (uncorrected): 1.59 eV/atom
M_tot: 4.3 μB/cell